Record 1
TbErNi PBE relaxed; symmetry = No. 216; excess energy over the best structure of this formula in the dataset = 96.3 meV per atom; magnetic moment = 0.0002 μB/atom; formation energy = -166.0 meV per atom
1.0
0.000 3.337 3.337
3.337 0.000 3.337
3.337 3.337 0.000
Ni Er Tb
1 1 1
direct
0.000 0.000 0.000
0.250 0.250 0.250
0.750 0.750 0.750


Record 2
RbTbSeO PBE relaxed; symmetry = No. 129; excess energy over the best structure of this formula in the dataset = 289.6 meV per atom; magnetic moment = 0.0002 μB/atom
1.0
-0.499 1.233 4.017
-3.267 -2.657 0.410
6.396 -7.390 3.063
Tb Se Rb O
2 2 2 2
direct
0.750 0.750 0.909
0.250 0.250 0.091
0.750 0.750 0.262
0.250 0.250 0.738
0.250 0.750 0.500
0.750 0.250 0.500
0.750 0.250 0.000
0.250 0.750 0.000


Record 3
YTmTlNi2 PBE relaxed; symmetry = No. 38; VASP energy = -5.3691 eV/atom; magnetic moment = 0.0001 μB/atom
1.0
3.664 0.000 0.000
0.000 1.928 7.210
0.000 -1.928 7.210
Tm Ni Y Tl
1 2 1 1
direct
0.500 0.640 0.640
0.000 0.799 0.799
0.000 0.201 0.201
0.500 0.360 0.360
0.000 0.000 0.000


> Which formula does entry 2 have?

RbTbSeO


> Which of these has the lowest magnetic moment?

YTmTlNi2